Computed, not measured: ZrCr2Cu2 after structural relaxation at the GGA-PBE level of DFT.

Cell: 3.8261 3.8261 10.1255 Å, 90.00 90.00 90.00°
Space group I4/mmm (No. 139)
Asymmetric unit:
Zr  0.0000  0.0000  0.0000
Cr  0.0000  0.0000  0.4046
Cu  0.0000  0.5000  0.2500

Results
energy relative to the lowest polymorph listed for this composition: 5.1 meV/atom
energy: -6.929 eV/atom
formation energy: 0.27 eV per atom

Computed, not measured: ZrCrCu2 after structural relaxation at the GGA-PBE level of DFT.

Cell: 3.8553 3.9770 7.5933 Å, 90.00 90.00 90.00°
Space group Cmm2 (No. 35)
Asymmetric unit:
Zr  0.0000  0.0000  0.0000
Cr  0.0000  0.5000  0.7137
Cu  0.0000  0.0000  0.4970
Cu  0.0000  0.5000  0.2835

Results
energy relative to the lowest polymorph listed for this composition: 157.4 meV/atom
energy: -6.325 eV/atom
formation energy: 0.27 eV per atom

Computed, not measured: ZrCr3Cu after structural relaxation at the GGA-PBE level of DFT.

Cell: 4.5193 4.5193 4.5193 Å, 90.00 90.00 90.00°
Space group Pm-3m (No. 221)
Asymmetric unit:
Zr  0.0000  0.0000  0.0000
Cr  0.0000  0.5000  0.5000
Cu  0.5000  0.5000  0.5000

Results
energy relative to the lowest polymorph listed for this composition: 0.0 meV/atom
energy: -7.201 eV/atom
formation energy: 1.10 eV per atom

Computed, not measured: ZrCr2Cu after structural relaxation at the GGA-PBE level of DFT.

Cell: 9.1926 3.0479 4.5421 Å, 90.00 108.48 90.00°
Space group C2/m (No. 12)
Asymmetric unit:
Zr  0.0000  0.0000  0.0000
Cr  0.2389  0.0000  0.6726
Cu  0.0000  0.5000  0.5000

Results
energy relative to the lowest polymorph listed for this composition: 213.1 meV/atom
energy: -7.630 eV/atom
formation energy: 0.34 eV per atom

Computed, not measured: ZrCrCu2 after structural relaxation at the GGA-PBE level of DFT.

Cell: 3.2050 3.2050 5.9035 Å, 90.00 90.00 90.00°
Space group P4mm (No. 99)
Asymmetric unit:
Zr  0.0000  0.0000  0.0000
Cr  0.5000  0.5000  0.2795
Cu  0.0000  0.0000  0.5073
Cu  0.5000  0.5000  0.7157

Results
energy relative to the lowest polymorph listed for this composition: 10.8 meV/atom
energy: -6.472 eV/atom
formation energy: 0.12 eV per atom

Computed, not measured: ZrCrCu2 after structural relaxation at the GGA-PBE level of DFT.

Cell: 2.8512 2.8512 26.5360 Å, 90.00 90.00 120.00°
Space group R-3m (No. 166, hexagonal axes)
Asymmetric unit:
Zr  0.0000  0.0000  0.0000
Cr  0.0000  0.0000  0.5000
Cu  0.0000  0.0000  0.2428

Results
energy relative to the lowest polymorph listed for this composition: 303.5 meV/atom
energy: -6.179 eV/atom
formation energy: 0.41 eV per atom

Computed, not measured: ZrCr2Cu after structural relaxation at the GGA-PBE level of DFT.

Cell: 2.9761 2.9761 6.7055 Å, 90.00 90.00 90.00°
Space group P4mm (No. 99)
Asymmetric unit:
Zr  0.0000  0.0000  0.0000
Cr  0.0000  0.0000  0.4677
Cr  0.5000  0.5000  0.2879
Cu  0.5000  0.5000  0.6983

Results
energy relative to the lowest polymorph listed for this composition: 0.0 meV/atom
energy: -7.843 eV/atom
formation energy: 0.13 eV per atom

Computed, not measured: ZrCr2Cu after structural relaxation at the GGA-PBE level of DFT.

Cell: 5.2717 8.6720 2.5476 Å, 90.00 90.00 90.00°
Space group Cmmm (No. 65)
Asymmetric unit:
Zr  0.0000  0.0000  0.0000
Cr  0.2500  0.2500  0.5000
Cu  0.0000  0.5000  0.0000

Results
energy relative to the lowest polymorph listed for this composition: 418.4 meV/atom
energy: -7.425 eV/atom
formation energy: 0.55 eV per atom